# PBE Rb2SrPbBr6, relaxed
# energy above the lowest structure with this stoichiometry: 53.9 meV per atom
# Fermi-level density of states: 0.00 states/eV/atom
# formation energy without anion corrections: -15.8 eV/f.u.
data_Rb2SrPbBr6
_chemical_formula_sum 'Rb8 Sr4 Pb4 Br24'
_space_group_name_H-M_alt 'F m -3 m'
_space_group_IT_number 225
_space_group_name_Hall '-F 4 2 3'
_cell_length_a 11.9906
_cell_length_b 11.9906
_cell_length_c 11.9906
_cell_angle_alpha 90.00
_cell_angle_beta 90.00
_cell_angle_gamma 90.00
loop_
_atom_site_label
_atom_site_type_symbol
_atom_site_fract_x
_atom_site_fract_y
_atom_site_fract_z
_atom_site_occupancy
Rb1 Rb 0.2500 0.2500 0.2500 1
Sr1 Sr 0.0000 0.0000 0.0000 1
Pb1 Pb 0.0000 0.0000 0.5000 1
Br1 Br 0.0000 0.0000 0.2501 1